Record 1
The following is a DFT calculation (GGA-PBE) of a geometry-optimized CaB3N structure.

Unit cell a=5.0875 b=5.0875 c=5.0875 alpha=90.00 beta=90.00 gamma=90.00
With the nearest neighbours (Å) after each atom.
Fractional coordinates of all 5 atoms:
Ca 0.0000 0.0000 0.0000  6 B 2.54
B 0.0000 0.5000 0.0000  2 Ca 2.54
B 0.0000 0.0000 0.5000  2 Ca 2.54
B 0.5000 0.0000 0.0000  2 Ca 2.54
N 0.5000 0.5000 0.5000  12 B 3.60

Space-group type   Pm-3m
Crystal system   cubic
Energy relative to the elements, uncorrected   3.66 eV per atom
Calculated volume   131.7 Å³/f.u.
E above lowest polymorph   1869 meV/atom


Record 2
The following is a DFT calculation (GGA-PBE) of a geometry-optimized La5Pt2Pb structure.

Unit cell a=8.2653 b=8.2653 c=9.1660 alpha=116.80 beta=116.80 gamma=90.00
With the nearest neighbours (Å) after each atom.
Fractional coordinates of all 16 atoms:
La 0.5217 0.7044 0.7261  3 Pt 3.07-3.13
La 0.7956 0.9783 0.2739  3 Pt 3.07-3.13
La 0.0000 0.0000 0.0000  4 Pt 3.20, 2 Pb 3.53
La 0.5000 0.5000 0.0000  4 Pt 3.20, 2 Pb 3.53
La 0.2044 0.0217 0.7261  3 Pt 3.07-3.13
La 0.7044 0.2044 0.7261  3 Pt 3.07-3.13
La 0.0217 0.5217 0.7261  3 Pt 3.07-3.13
La 0.2956 0.7956 0.2739  3 Pt 3.07-3.13
La 0.9783 0.4783 0.2739  3 Pt 3.07-3.13
La 0.4783 0.2956 0.2739  3 Pt 3.07-3.13
Pt 0.1376 0.3624 0.0000  8 La 3.07-3.20, 1 Pt 3.22
Pt 0.6376 0.1376 0.0000  8 La 3.07-3.20, 1 Pt 3.22
Pt 0.3624 0.8624 0.0000  8 La 3.07-3.20, 1 Pt 3.22
Pt 0.8624 0.6376 0.0000  8 La 3.07-3.20, 1 Pt 3.22
Pb 0.7500 0.7500 0.5000  10 La 3.50-3.53
Pb 0.2500 0.2500 0.5000  10 La 3.50-3.53

Space-group type   I4/mcm
Crystal system   tetragonal
Calculated volume   241.2 Å³/f.u.
Formation energy   -816 meV per atom


Record 3
The following is a DFT calculation (GGA-PBE) of a geometry-optimized AcPrNdPt2 structure.

Unit cell a=4.6509 b=8.9927 c=8.0503 alpha=86.20 beta=73.21 gamma=75.01
With the nearest neighbours (Å) after each atom.
Fractional coordinates of all 10 atoms:
Ac 0.8184 0.7271 0.6361  5 Pt 3.16-3.43
Ac 0.1816 0.2729 0.3639  5 Pt 3.16-3.43
Pr 0.3850 0.3718 0.8582  4 Pt 3.00-3.08
Pr 0.6150 0.6282 0.1418  4 Pt 3.00-3.08
Nd 0.0848 0.0471 0.7834  5 Pt 2.88-3.11
Nd 0.9152 0.9529 0.2166  5 Pt 2.88-3.11
Pt 0.3474 0.8825 0.4227  3 Nd 2.88-3.11, 1 Pr 3.08, 2 Ac 3.16
Pt 0.6526 0.1175 0.5773  3 Nd 2.88-3.11, 1 Pr 3.08, 2 Ac 3.16
Pt 0.8189 0.2811 0.0812  3 Pr 3.00-3.05, 2 Nd 3.04-3.05, 2 Ac 3.19
Pt 0.1811 0.7189 0.9188  3 Pr 3.00-3.05, 2 Nd 3.04-3.05, 2 Ac 3.19

Space-group type   C2/m
Crystal system   monoclinic
Calculated volume   155.7 Å³/f.u.
Formation energy   -899 meV per atom


Record 4
The following is a DFT calculation (GGA-PBE) of a geometry-optimized CsTiWS6 structure.

Unit cell a=5.6370 b=6.3398 c=8.1017 alpha=94.49 beta=100.43 gamma=64.21
With the nearest neighbours (Å) after each atom.
Fractional coordinates of all 9 atoms:
Cs 0.0900 0.9940 0.9604  8 S 3.52-3.93
Ti 0.6481 0.6940 0.5027  6 S 2.33-2.55
W 0.3139 0.3153 0.4688  5 S 2.23-2.47
S 0.9203 0.3557 0.3239  1 W 2.23
S 0.4974 0.0097 0.6847  1 Ti 2.33, 1 W 2.45
S 0.5727 0.4785 0.7012  1 Ti 2.39, 1 W 2.60
S 0.0661 0.5039 0.7020  1 Ti 2.46, 1 W 2.47
S 0.2904 0.6356 0.3328  1 W 2.33, 1 Ti 2.38
S 0.6009 0.0134 0.3233  1 W 2.31, 1 Ti 2.48

Space-group type   P1
Crystal system   triclinic
Energy relative to the elements, uncorrected   -0.77 eV per atom
Calculated volume   256.4 Å³/f.u.